First-principles (PBE-GGA) data for SrCdAs2F after structural relaxation, as listed in the Alexandria database.

Summary:
The calculation puts the formation energy (no corrections) at -2.7 eV/f.u. For the spin magnetization, the calculation gives 0.00 μB per formula unit.

```
data_SrCdAs2F
_chemical_formula_sum 'Sr1 Cd1 As2 F1'
_cell_length_a 4.989
_cell_length_b 4.989
_cell_length_c 4.618
_cell_angle_alpha 90.00
_cell_angle_beta 90.00
_cell_angle_gamma 90.00
_space_group_name_H-M_alt 'P 4/m m m'
_space_group_IT_number 123
_space_group_name_Hall '-P 4 2'
loop_
_atom_site_label
_atom_site_fract_x
_atom_site_fract_y
_atom_site_fract_z
Sr1 0.000 0.000 0.000
Cd1 0.500 0.500 0.000
As1 0.000 0.500 0.500
F1 0.500 0.500 0.500
```